(1)
! PrCu5Rh2 PBE-GGA optimized geometry; values from VASP
! VASP energy = -0.3703 Ry per atom
! E_form = -0.042 eV/atom
! space-group type = Immm (71)
&SYSTEM
  ibrav = 0, nat = 16, ntyp = 3
/
ATOMIC_SPECIES
Pr 140.91 Pr.upf
Cu 63.55 Cu.upf
Rh 102.91 Rh.upf
ATOMIC_POSITIONS crystal
Pr 0.000 0.000 0.000
Pr 0.500 0.500 0.500
Cu 0.000 0.172 0.359
Cu 0.000 0.172 0.641
Cu 0.000 0.500 0.000
Cu 0.000 0.828 0.359
Cu 0.000 0.828 0.641
Cu 0.500 0.000 0.500
Cu 0.500 0.328 0.141
Cu 0.500 0.328 0.859
Cu 0.500 0.672 0.141
Cu 0.500 0.672 0.859
Rh 0.000 0.500 0.271
Rh 0.000 0.500 0.729
Rh 0.500 0.000 0.229
Rh 0.500 0.000 0.771
CELL_PARAMETERS angstrom
3.875 0.000 0.000
0.000 7.228 0.000
0.000 0.000 9.157

(2)
! PrCuRh PBE-GGA optimized geometry; values from VASP
! VASP energy = -0.4225 Ry per atom
! E_form = -0.340 eV/atom
! polymorph energy (0 for the lowest one) = 109 meV per atom
! space-group type = Pnma (62)
&SYSTEM
  ibrav = 0, nat = 12, ntyp = 3
/
ATOMIC_SPECIES
Pr 140.91 Pr.upf
Cu 63.55 Cu.upf
Rh 102.91 Rh.upf
ATOMIC_POSITIONS crystal
Pr 0.132 0.250 0.132
Pr 0.368 0.750 0.632
Pr 0.632 0.250 0.368
Pr 0.868 0.750 0.868
Cu 0.168 0.750 0.338
Cu 0.332 0.250 0.838
Cu 0.668 0.750 0.162
Cu 0.832 0.250 0.662
Rh 0.131 0.250 0.456
Rh 0.369 0.750 0.956
Rh 0.631 0.250 0.044
Rh 0.869 0.750 0.544
CELL_PARAMETERS angstrom
5.382 0.000 0.000
0.000 4.482 0.000
0.000 0.000 10.278

(3)
! Pr2CuRh PBE-GGA optimized geometry; values from VASP
! VASP energy = -0.4135 Ry per atom
! E_form = -0.374 eV/atom
! space-group type = P4/mmm (123)
&SYSTEM
  ibrav = 0, nat = 4, ntyp = 3
/
ATOMIC_SPECIES
Pr 140.91 Pr.upf
Cu 63.55 Cu.upf
Rh 102.91 Rh.upf
ATOMIC_POSITIONS crystal
Pr 0.000 0.500 0.000
Pr 0.500 0.000 0.000
Cu 0.000 0.000 0.500
Rh 0.500 0.500 0.500
CELL_PARAMETERS angstrom
5.058 0.000 0.000
0.000 5.058 0.000
0.000 0.000 3.624

(4)
! Pr2CuRh2 PBE-GGA optimized geometry; values from VASP
! VASP energy = -0.4554 Ry per atom
! E_form = -0.524 eV/atom
! space-group type = C2/c (15)
&SYSTEM
  ibrav = 0, nat = 10, ntyp = 3
/
ATOMIC_SPECIES
Pr 140.91 Pr.upf
Cu 63.55 Cu.upf
Rh 102.91 Rh.upf
ATOMIC_POSITIONS crystal
Pr 0.006 0.290 0.152
Pr 0.290 0.006 0.652
Pr 0.710 0.994 0.348
Pr 0.994 0.710 0.848
Cu 0.347 0.653 0.250
Cu 0.653 0.347 0.750
Rh 0.236 0.505 0.491
Rh 0.495 0.764 0.009
Rh 0.505 0.236 0.991
Rh 0.764 0.495 0.509
CELL_PARAMETERS angstrom
5.057 -2.767 0.000
5.057 2.767 0.000
-2.157 0.000 7.623

(5)
! Pr2CuRh PBE-GGA optimized geometry; values from VASP
! VASP energy = -0.4200 Ry per atom
! E_form = -0.463 eV/atom
! space-group type = P2_1/m (11)
&SYSTEM
  ibrav = 0, nat = 8, ntyp = 3
/
ATOMIC_SPECIES
Pr 140.91 Pr.upf
Cu 63.55 Cu.upf
Rh 102.91 Rh.upf
ATOMIC_POSITIONS crystal
Pr 0.220 0.250 0.435
Pr 0.227 0.250 0.928
Pr 0.773 0.750 0.072
Pr 0.780 0.750 0.565
Cu 0.353 0.750 0.214
Cu 0.647 0.250 0.786
Rh 0.344 0.750 0.714
Rh 0.656 0.250 0.286
CELL_PARAMETERS angstrom
5.786 0.000 0.000
0.000 4.484 0.000
-2.737 0.000 7.420

(6)
! Pr2Cu5Rh PBE-GGA optimized geometry; values from VASP
! VASP energy = -0.3596 Ry per atom
! E_form = -0.218 eV/atom
! space-group type = Cmcm (63)
&SYSTEM
  ibrav = 0, nat = 16, ntyp = 3
/
ATOMIC_SPECIES
Pr 140.91 Pr.upf
Cu 63.55 Cu.upf
Rh 102.91 Rh.upf
ATOMIC_POSITIONS crystal
Pr 0.000 0.000 0.000
Pr 0.000 0.000 0.500
Pr 0.197 0.803 0.750
Pr 0.803 0.197 0.250
Cu 0.182 0.818 0.114
Cu 0.182 0.818 0.386
Cu 0.343 0.657 0.015
Cu 0.343 0.657 0.485
Cu 0.396 0.604 0.750
Cu 0.604 0.396 0.250
Cu 0.657 0.343 0.515
Cu 0.657 0.343 0.985
Cu 0.818 0.182 0.614
Cu 0.818 0.182 0.886
Rh 0.440 0.560 0.250
Rh 0.560 0.440 0.750
CELL_PARAMETERS angstrom
2.094 -7.816 0.000
2.094 7.816 0.000
0.000 0.000 8.897